The following is a GGA-PBE calculation of a relaxed structure of ZrP2Pb, from the Alexandria database.

```
4
Lattice="4.672 -1.636 0.000 4.672 1.636 0.000 -0.791 0.000 5.674" Properties=species:S:1:pos:R:3 pbc="T T T"
Zr 0.000 0.000 0.000
P 1.839 0.000 4.891
P 6.714 0.000 0.782
Pb 4.277 0.000 2.837
```

Computed properties:
Energy (eV for the cell shown): -24.24